# NaMgTaCo2 (PBE, relaxed)
data_NaMgTaCo2
_chemical_formula_sum 'Na1 Mg1 Ta1 Co2'
_cell_length_a 4.4252
_cell_length_b 4.4252
_cell_length_c 4.1372
_cell_angle_alpha 90.00
_cell_angle_beta 90.00
_cell_angle_gamma 90.00
_symmetry_space_group_name_H-M 'P 4/m m m'
_symmetry_Int_Tables_number 123
_symmetry_space_group_name_Hall '-P 4 2'
loop_
_atom_site_label
_atom_site_fract_x
_atom_site_fract_y
_atom_site_fract_z
Na1 0.0000 0.0000 0.0000
Mg1 0.0000 0.0000 0.5000
Ta1 0.5000 0.5000 0.5000
Co1 0.0000 0.5000 0.0000
# - Uncorrected energy: -4.180 eV/atom
# - Formation enthalpy at 0 K: 155.9 kJ/mol of atoms
# - Magnetic moment: 0.41 μB/atom
# - Crystal system: tetragonal